# Al2AgP

A PBEsol-optimized structure of Al2AgP (meta-GGA SCAN, the Alexandria database).

Values from the calculation:
As for the density of states at the Fermi level: 0.35 states/eV/atom. The calculation puts the energy of formation from the pure elements at 0.07 eV/atom. Its total magnetic moment is 0.00 Bohr magnetons per cell.

Geometry as CIF:
```
data_Al2AgP
_chemical_formula_sum 'Al6 Ag3 P3'
_cell_length_a 3.2342
_cell_length_b 3.2342
_cell_length_c 22.5094
_cell_angle_alpha 90.00
_cell_angle_beta 90.00
_cell_angle_gamma 120.00
_symmetry_space_group_name_H-M 'R 3 m'
_symmetry_Int_Tables_number 160
_symmetry_space_group_name_Hall 'R 3 -2"'
loop_
_atom_site_label
_atom_site_fract_x
_atom_site_fract_y
_atom_site_fract_z
_atom_site_occupancy
Al1 0.0000 0.0000 0.0000 1
Al2 0.0000 0.0000 0.2403 1
Ag1 0.0000 0.0000 0.4879 1
P1 0.0000 0.0000 0.7346 1
```